No. 1
Compound: RbRuNO2
Source: the Alexandria database
Functional: PBE
Structure: optimized geometry

Cell: 4.0772 4.0772 3.8377 Å, 90.00 90.00 90.00°
With the nearest neighbours (Å) after each atom.
Space group P4/mmm (No. 123)
One atom of each set of equivalent atoms:
Rb1 0.0000 0.0000 0.0000 [1 per cell]  8 O 2.80, 4 N 2.88
Ru1 0.5000 0.5000 0.5000 [1 per cell]  2 N 1.92, 4 O 2.04
N1 0.5000 0.5000 0.0000 [1 per cell]  2 Ru 1.92
O1 0.0000 0.5000 0.5000 [2 per cell]  2 Ru 2.04

Output
The value obtained for the density of states at the Fermi level is 4.484 states/eV per cell. The calculation puts the raw total energy at -6.067 eV per atom. For the volume, the calculation gives 63.80 Å³/cell. As for the crystal system: tetragonal. Its uncorrected formation energy is -8.52 kcal/mol of atoms.


No. 2
Compound: RbRuN2O
Source: the Alexandria database
Functional: PBE
Structure: optimized geometry

Cell: 4.4758 4.4758 4.2319 Å, 90.00 90.00 90.00°
With the nearest neighbours (Å) after each atom.
Space group P4/mmm (No. 123)
One atom of each set of equivalent atoms:
Rb1 0.0000 0.0000 0.0000 [1 per cell]  2 O 2.12, 4 N 2.24
Ru1 0.5000 0.5000 0.5000 [1 per cell]  8 N 3.08, 4 O 3.16
N1 0.0000 0.5000 0.0000 [2 per cell]  2 Rb 2.24
O1 0.0000 0.0000 0.5000 [1 per cell]  2 Rb 2.12

Output
The value obtained for the density of states at the Fermi level is 4.601 states/eV per cell. The calculation puts the raw total energy at -3.262 eV per atom. For the volume, the calculation gives 84.78 Å³/cell. As for the crystal system: tetragonal. Its uncorrected formation energy is 71.68 kcal/mol of atoms.


No. 3
Compound: RbRuN2O
Source: the Alexandria database
Functional: PBE
Structure: optimized geometry

Cell: 3.8931 3.8931 4.2803 Å, 90.00 90.00 90.00°
With the nearest neighbours (Å) after each atom.
Space group P4/mmm (No. 123)
One atom of each set of equivalent atoms:
Rb1 0.0000 0.0000 0.0000 [1 per cell]  4 O 2.75, 8 N 2.89
Ru1 0.5000 0.5000 0.5000 [1 per cell]  4 N 1.95, 2 O 2.14
N1 0.0000 0.5000 0.5000 [2 per cell]  2 Ru 1.95
O1 0.5000 0.5000 0.0000 [1 per cell]  2 Ru 2.14

Output
The value obtained for the density of states at the Fermi level is 4.781 states/eV per cell. The calculation puts the raw total energy at -6.072 eV per atom. For the volume, the calculation gives 64.87 Å³/cell. As for the crystal system: tetragonal. Its uncorrected formation energy is 6.89 kcal/mol of atoms.


No. 4
Compound: RbRuNO2
Source: the Alexandria database
Functional: PBE
Structure: optimized geometry

Cell: 4.2481 4.2481 4.5976 Å, 90.00 90.00 90.00°
With the nearest neighbours (Å) after each atom.
Space group P4/mmm (No. 123)
One atom of each set of equivalent atoms:
Rb1 0.0000 0.0000 0.0000 [1 per cell]  4 O 2.12, 2 N 2.30
Ru1 0.5000 0.5000 0.5000 [1 per cell]  4 N 3.00, 8 O 3.13
N1 0.0000 0.0000 0.5000 [1 per cell]  2 Rb 2.30
O1 0.0000 0.5000 0.0000 [2 per cell]  2 Rb 2.12

Output
The value obtained for the density of states at the Fermi level is 1.908 states/eV per cell. The calculation puts the raw total energy at -3.363 eV per atom. For the volume, the calculation gives 82.97 Å³/cell. As for the crystal system: tetragonal. Its uncorrected formation energy is 53.84 kcal/mol of atoms.


No. 5
Compound: RbSNO
Source: the Alexandria database
Functional: PBE
Structure: optimized geometry

Cell: 6.6462 7.5024 8.3426 Å, 90.00 90.00 90.00°
With the nearest neighbours (Å) after each atom.
Space group P2_12_12_1 (No. 19)
One atom of each set of equivalent atoms:
Rb1 0.2469 0.1003 0.1379 [4 per cell]  3 O 2.96-3.23, 3 N 3.00-3.14
S1 0.2503 0.4137 0.6123 [4 per cell]  1 N 1.48, 1 O 1.52
N1 0.0594 0.4838 0.1101 [4 per cell]  1 S 1.48
O1 0.0488 0.5096 0.6144 [4 per cell]  1 S 1.52

Output
The value obtained for the density of states at the Fermi level is 0.000 states/eV per cell. The calculation puts the raw total energy at -5.332 eV per atom. For the volume, the calculation gives 415.99 Å³/cell. As for the crystal system: orthorhombic. Its uncorrected formation energy is -17.01 kcal/mol of atoms.


No. 6
Compound: RbSbNO2
Source: the Alexandria database
Functional: PBE
Structure: optimized geometry

Cell: 4.2029 4.2029 4.7415 Å, 90.00 90.00 90.00°
With the nearest neighbours (Å) after each atom.
Space group P4/mmm (No. 123)
One atom of each set of equivalent atoms:
Rb1 0.0000 0.0000 0.0000 [1 per cell]  4 O 2.10
Sb1 0.5000 0.5000 0.5000 [1 per cell]  4 N 2.97, 8 O 3.17
N1 0.0000 0.0000 0.5000 [1 per cell]  2 Rb 2.37
O1 0.0000 0.5000 0.0000 [2 per cell]  2 Rb 2.10

Output
The value obtained for the density of states at the Fermi level is 1.314 states/eV per cell. The calculation puts the raw total energy at -3.118 eV per atom. For the volume, the calculation gives 83.76 Å³/cell. As for the crystal system: tetragonal. Its uncorrected formation energy is 35.72 kcal/mol of atoms.


What did we get for theoretical density? Answer: 6.1, 4.5, 5.9, 4.7, 2.4, 5.0 g/cm3, in the order shown.